Record 1
Density functional theory data (PBE-GGA) for a relaxed AcNdAg crystal.

## Properties
**Space-group type**: No. 216
**Calculated volume**: 35.64 A^3/atom

Lattice parameters (Å, degrees): 5.327 5.327 5.327 60.00 60.00 60.00
Last column: magnetic moment on the atom in μB.
Sites, in units of the cell vectors:
Ag (0.750, 0.750, 0.750)  0.03
Ac (0.000, 0.000, 0.000)  0.12
Nd (0.500, 0.500, 0.500)  0.21

Record 2
Density functional theory data (PBE-GGA) for a relaxed AcNiAg crystal.

## Properties
**Space-group type**: No. 216
**Calculated volume**: 29.59 A^3/atom

Lattice parameters (Å, degrees): 5.007 5.007 5.007 60.00 60.00 60.00
Sites, in units of the cell vectors:
Ni (0.750, 0.750, 0.750)
Ac (0.000, 0.000, 0.000)
Ag (0.250, 0.250, 0.250)

Record 3
Density functional theory data (PBE-GGA) for a relaxed AcNiAg crystal.

## Properties
**Space-group type**: No. 216
**Calculated volume**: 25.46 A^3/atom

Lattice parameters (Å, degrees): 4.763 4.763 4.763 60.00 60.00 60.00
Sites, in units of the cell vectors:
Ni (0.000, 0.000, 0.000)
Ag (0.750, 0.750, 0.750)
Ac (0.250, 0.250, 0.250)

Record 4
Density functional theory data (PBE-GGA) for a relaxed AcNpAg crystal.

## Properties
**Space-group type**: No. 216
**Calculated volume**: 29.22 A^3/atom

Lattice parameters (Å, degrees): 4.986 4.986 4.986 60.00 60.00 60.00
Sites, in units of the cell vectors:
Ac (0.000, 0.000, 0.000)
Ag (0.250, 0.250, 0.250)
Np (0.750, 0.750, 0.750)

Q: Which energy of formation from the pure elements values were calculated for the entries above? A: 0.074, 0.392, -0.112, 1.019, in eV per atom.